<w>
{"formula": "Mn2Zn2Sb", "functional": "PBE", "state": "optimized geometry", "lattice": [[6.710, 0.000, 0.000], [0.000, 6.710, 0.000], [0.000, 0.000, 3.686]], "species": ["Mn", "Mn", "Mn", "Mn", "Zn", "Zn", "Zn", "Zn", "Sb", "Sb"], "fractional_positions": [[0.145, 0.355, 0.000], [0.355, 0.855, 0.000], [0.645, 0.145, 0.000], [0.855, 0.645, 0.000], [0.145, 0.645, 0.500], [0.355, 0.145, 0.500], [0.645, 0.855, 0.500], [0.855, 0.355, 0.500], [0.000, 0.000, 0.000], [0.500, 0.500, 0.000]]}

---

<x>
{"formula": "Mn2Zn2Sb", "functional": "PBE", "state": "optimized geometry", "lattice": [[6.789, 0.000, 0.000], [0.000, 6.789, 0.000], [0.000, 0.000, 3.152]], "species": ["Mn", "Mn", "Mn", "Mn", "Zn", "Zn", "Zn", "Zn", "Sb", "Sb"], "fractional_positions": [[0.174, 0.326, 0.000], [0.326, 0.826, 0.000], [0.674, 0.174, 0.000], [0.826, 0.674, 0.000], [0.123, 0.623, 0.500], [0.377, 0.123, 0.500], [0.623, 0.877, 0.500], [0.877, 0.377, 0.500], [0.000, 0.000, 0.500], [0.500, 0.500, 0.500]]}

---

Stability check: which of them is most stable? <w>.

---

<w>
{"formula": "ScMn4", "functional": "PBE", "state": "optimized geometry", "lattice": [[4.582, 0.000, 0.000], [0.000, 4.582, 0.000], [0.000, 0.000, 4.582]], "species": ["Sc", "Mn", "Mn", "Mn", "Mn"], "fractional_positions": [[0.000, 0.000, 0.000], [0.000, 0.000, 0.500], [0.000, 0.500, 0.000], [0.500, 0.000, 0.000], [0.500, 0.500, 0.500]]}

---

<x>
{"formula": "ScMn4", "functional": "PBE", "state": "optimized geometry", "lattice": [[-2.936, 2.936, 2.936], [2.936, -2.936, 2.936], [2.936, 2.936, -2.936]], "species": ["Sc", "Mn", "Mn", "Mn", "Mn"], "fractional_positions": [[0.000, 0.000, 0.000], [0.000, 0.000, 0.500], [0.000, 0.500, 0.000], [0.500, 0.000, 0.000], [0.500, 0.500, 0.500]]}

---

Stability check: which of them is most stable? <x>.

---

<w>
{"formula": "Sc3Mn4", "functional": "PBE", "state": "optimized geometry", "lattice": [[-1.456, 1.456, 13.215], [1.456, -1.456, 13.215], [1.456, 1.456, -13.215]], "species": ["Sc", "Sc", "Sc", "Mn", "Mn", "Mn", "Mn"], "fractional_positions": [[0.000, 0.000, 0.000], [0.307, 0.307, 0.000], [0.693, 0.693, 0.000], [0.121, 0.121, 0.000], [0.424, 0.424, 0.000], [0.576, 0.576, 0.000], [0.879, 0.879, 0.000]]}

---

<x>
{"formula": "Sc3Mn4", "functional": "PBE", "state": "optimized geometry", "lattice": [[5.642, 0.000, 0.000], [-2.821, 4.886, 0.000], [0.000, 0.000, 4.887]], "species": ["Sc", "Sc", "Sc", "Mn", "Mn", "Mn", "Mn"], "fractional_positions": [[0.000, 0.500, 0.000], [0.500, 0.000, 0.000], [0.500, 0.500, 0.000], [0.000, 0.000, 0.252], [0.000, 0.000, 0.748], [0.333, 0.667, 0.500], [0.667, 0.333, 0.500]]}

---

Stability check: which of them is most stable? <w>.

---

<w>
{"formula": "Sc5Mn3", "functional": "PBE", "state": "optimized geometry", "lattice": [[3.754, -4.600, 0.000], [3.754, 4.600, 0.000], [0.000, 0.000, 4.461]], "species": ["Sc", "Sc", "Sc", "Sc", "Sc", "Mn", "Mn", "Mn"], "fractional_positions": [[0.000, 0.000, 0.000], [0.000, 0.500, 0.000], [0.286, 0.286, 0.500], [0.500, 0.000, 0.000], [0.714, 0.714, 0.500], [0.235, 0.765, 0.500], [0.500, 0.500, 0.000], [0.765, 0.235, 0.500]]}

---

<x>
{"formula": "Sc5Mn3", "functional": "PBE", "state": "optimized geometry", "lattice": [[7.935, 0.000, 0.000], [-3.967, 6.872, 0.000], [0.000, 0.000, 5.772]], "species": ["Sc", "Sc", "Sc", "Sc", "Sc", "Sc", "Sc", "Sc", "Sc", "Sc", "Mn", "Mn", "Mn", "Mn", "Mn", "Mn"], "fractional_positions": [[0.000, 0.254, 0.250], [0.000, 0.746, 0.750], [0.254, 0.000, 0.250], [0.254, 0.254, 0.750], [0.333, 0.667, 0.000], [0.333, 0.667, 0.500], [0.667, 0.333, 0.000], [0.667, 0.333, 0.500], [0.746, 0.000, 0.750], [0.746, 0.746, 0.250], [0.000, 0.399, 0.750], [0.000, 0.601, 0.250], [0.399, 0.000, 0.750], [0.399, 0.399, 0.250], [0.601, 0.000, 0.250], [0.601, 0.601, 0.750]]}

---

Stability check: which of them is most stable? <x>.